Entry 1:
Ac2MgCd7 | the Alexandria database | PBE | optimized geometry; symmetry = P-4m2, No. 115; formation enthalpy at 0 K = -244 kJ/mol of formula units
1.0
4.675 0.000 0.000
0.000 4.675 0.000
0.000 0.000 12.550
Ac Mg Cd
2 1 7
Cartesian
2.337 0.000 9.340
0.000 2.337 3.210
2.337 2.337 0.000
0.000 2.337 10.815
2.337 0.000 4.557
2.337 0.000 1.735
0.000 2.337 7.993
0.000 0.000 6.275
0.000 0.000 0.000
2.337 2.337 6.275

Entry 2:
Ac2Mg3Cd4 | the Alexandria database | PBE | optimized geometry; symmetry = Fmmm, No. 69; formation enthalpy at 0 K = -184 kJ/mol of formula units
1.0
-1.034 -1.435 5.795
3.603 -4.035 2.811
4.153 5.023 5.152
Ac Mg Cd
2 3 4
Cartesian
2.387 2.771 7.447
0.732 0.818 3.500
1.802 -2.018 1.406
0.000 0.000 0.000
1.284 -2.735 4.303
3.776 -1.010 3.591
1.904 -0.636 6.517
2.946 0.563 10.167
4.817 0.190 7.241

Entry 3:
Ac2MgCd | the Alexandria database | PBE | optimized geometry; symmetry = P4/mmm, No. 123; formation enthalpy at 0 K = -72 kJ/mol of formula units
1.0
4.108 0.000 0.000
0.000 5.775 0.000
0.000 0.000 5.775
Ac Mg Cd
2 1 1
Cartesian
0.000 0.000 2.887
0.000 2.887 0.000
2.054 2.887 2.887
2.054 0.000 0.000

Entry 4:
AcMg3Cd2 | the Alexandria database | PBE | optimized geometry; symmetry = P6/mmm, No. 191; formation enthalpy at 0 K = -113 kJ/mol of formula units
1.0
4.860 0.000 0.000
0.000 9.233 -5.331
0.000 0.000 10.661
Ac Mg Cd
3 9 6
Cartesian
2.430 0.000 0.000
0.000 6.155 0.000
0.000 3.078 5.331
2.430 4.616 2.665
2.430 0.000 5.331
2.430 4.616 -2.665
0.000 6.504 3.755
0.000 0.000 3.151
0.000 2.729 -1.576
0.000 2.729 1.576
0.000 0.000 7.510
0.000 6.504 -3.755
2.430 7.478 -2.292
2.430 3.509 0.000
2.430 7.478 2.292
2.430 1.755 7.622
2.430 5.724 5.331
2.430 1.755 3.039

- The lowest formation enthalpy at 0 K belongs to which entry?
  Ac2MgCd7

What did the fourth record say?
AcMg3Cd2 | the Alexandria database | PBE | optimized geometry; symmetry = P6/mmm, No. 191; formation enthalpy at 0 K = -113 kJ/mol of formula units
1.0
4.860 0.000 0.000
0.000 9.233 -5.331
0.000 0.000 10.661
Ac Mg Cd
3 9 6
Cartesian
2.430 0.000 0.000
0.000 6.155 0.000
0.000 3.078 5.331
2.430 4.616 2.665
2.430 0.000 5.331
2.430 4.616 -2.665
0.000 6.504 3.755
0.000 0.000 3.151
0.000 2.729 -1.576
0.000 2.729 1.576
0.000 0.000 7.510
0.000 6.504 -3.755
2.430 7.478 -2.292
2.430 3.509 0.000
2.430 7.478 2.292
2.430 1.755 7.622
2.430 5.724 5.331
2.430 1.755 3.039

What did the third record say?
Ac2MgCd | the Alexandria database | PBE | optimized geometry; symmetry = P4/mmm, No. 123; formation enthalpy at 0 K = -72 kJ/mol of formula units
1.0
4.108 0.000 0.000
0.000 5.775 0.000
0.000 0.000 5.775
Ac Mg Cd
2 1 1
Cartesian
0.000 0.000 2.887
0.000 2.887 0.000
2.054 2.887 2.887
2.054 0.000 0.000

- What is the formula in the first record?
  Ac2MgCd7